a) Computed, not measured: crystalline LiPrAl2 at its relaxed geometry at the PBE level of DFT.

Geometry as extended XYZ:
```
4
Lattice="-3.697 -1.047 -2.204 0.254 -1.536 -4.147 -0.845 -5.902 -0.231" Properties=species:S:1:pos:R:3 pbc="T T T"
Al -3.257 -5.684 -5.191
Al -1.031 -2.802 -1.391
Pr 0.000 0.000 0.000
Li -2.144 -4.243 -3.291
```

Results
The calculated density comes out at 3.7 g/cm3. The value obtained for the calculated volume is 91.6 Å³/cell. The value obtained for the density of states at the Fermi level is 2.6 states/eV/f.u.

b) Computed, not measured: crystalline LiPrAl2 at its relaxed geometry at the PBE level of DFT.

Geometry as extended XYZ:
```
4
Lattice="-0.796 -1.892 4.037 1.752 -4.601 -1.811 2.479 3.159 1.969" Properties=species:S:1:pos:R:3 pbc="T T T"
Pr 0.478 -3.246 1.113
Al 0.433 -1.577 4.427
Li -0.398 -0.946 2.019
Al 3.003 -1.756 -0.231
```

Results
The calculated density comes out at 3.9 g/cm3. The value obtained for the calculated volume is 86.1 Å³/cell. The value obtained for the density of states at the Fermi level is 1.7 states/eV/f.u.

c) Computed, not measured: crystalline LiPrAl2 at its relaxed geometry at the PBE level of DFT.

Geometry as extended XYZ:
```
4
Lattice="-3.829 -2.094 -1.579 1.259 -3.728 1.890 -2.121 1.131 3.644" Properties=species:S:1:pos:R:3 pbc="T T T"
Pr -2.346 -2.345 1.978
Li -1.915 -1.047 -0.790
Al 0.630 -1.864 0.945
Al -1.061 0.566 1.822
```

Results
The calculated density comes out at 3.8 g/cm3. The value obtained for the calculated volume is 88.4 Å³/cell. The value obtained for the density of states at the Fermi level is 3.3 states/eV/f.u.

Relative energy table, unit meV/atom: a) 0; b) 195; c) 71

a) Computed, not measured: crystalline LiPr3Al2 at its relaxed geometry at the PBE level of DFT.

Geometry as extended XYZ:
```
12
Lattice="5.335 0.000 0.000 -2.668 4.620 0.000 0.000 0.000 13.084" Properties=species:S:1:pos:R:3 pbc="T T T"
Pr 2.668 1.540 1.056
Pr 0.000 0.000 9.872
Al 0.000 3.080 2.260
Pr 0.000 3.080 5.444
Li 2.668 1.540 4.315
Al 0.000 0.000 6.542
Al 0.000 0.000 0.000
Pr 2.668 1.540 7.640
Li 0.000 3.080 8.769
Pr 0.000 0.000 3.212
Al 2.668 1.540 10.824
Pr 0.000 3.080 12.028
```

Results
The calculated density comes out at 5.0 g/cm3. The value obtained for the calculated volume is 322.5 Å³/cell. The value obtained for the density of states at the Fermi level is 5.7 states/eV/f.u.

b) Computed, not measured: crystalline LiPr3Al2 at its relaxed geometry at the PBE level of DFT.

Geometry as extended XYZ:
```
6
Lattice="3.739 0.000 0.000 0.000 3.739 0.000 0.000 0.000 11.702" Properties=species:S:1:pos:R:3 pbc="T T T"
Al 1.870 1.870 9.756
Pr 0.000 0.000 3.729
Pr 0.000 0.000 0.000
Pr 0.000 0.000 7.973
Al 1.870 1.870 1.946
Li 1.870 1.870 5.851
```

Results
The calculated density comes out at 4.9 g/cm3. The value obtained for the calculated volume is 163.6 Å³/cell. The value obtained for the density of states at the Fermi level is 2.7 states/eV/f.u.

Relative energy table, unit meV/atom: a) 0; b) 18

a) Computed, not measured: crystalline Li2AlPt2 at its relaxed geometry at the PBE level of DFT.

Geometry as extended XYZ:
```
5
Lattice="5.692 1.410 3.540 3.203 4.912 3.540 1.630 1.158 4.886" Properties=species:S:1:pos:R:3 pbc="T T T"
Li 4.106 2.918 5.822
Al 0.000 0.000 0.000
Pt 7.215 5.127 8.587
Li 6.419 4.562 6.144
Pt 3.310 2.352 3.380
```

Results
The calculated density comes out at 8.5 g/cm3. The value obtained for the calculated volume is 84.1 Å³/cell. The value obtained for the density of states at the Fermi level is 1.7 states/eV/f.u.

b) Computed, not measured: crystalline Li2AlPt2 at its relaxed geometry at the PBE level of DFT.

Geometry as extended XYZ:
```
10
Lattice="6.825 0.000 0.000 0.000 6.825 0.000 0.000 0.000 2.837" Properties=species:S:1:pos:R:3 pbc="T T T"
Al 0.000 0.000 0.000
Pt 4.727 5.511 1.419
Li 0.740 2.672 0.000
Pt 5.511 2.098 1.419
Pt 2.098 1.315 1.419
Li 6.085 4.153 0.000
Pt 1.315 4.727 1.419
Li 2.672 6.085 0.000
Al 3.413 3.413 0.000
Li 4.153 0.740 0.000
```

Results
The calculated density comes out at 10.8 g/cm3. The value obtained for the calculated volume is 132.2 Å³/cell. The value obtained for the density of states at the Fermi level is 1.3 states/eV/f.u.

Relative energy table, unit meV/atom: a) 0; b) 31

a) Computed, not measured: crystalline LiAl2Pt2 at its relaxed geometry at the PBE level of DFT.

Geometry as extended XYZ:
```
5
Lattice="-1.328 -2.097 -3.009 2.906 -2.555 0.498 -2.491 -5.363 2.308" Properties=species:S:1:pos:R:3 pbc="T T T"
Pt -0.951 -6.993 0.237
Al 0.602 -5.122 0.775
Li 0.000 0.000 0.000
Al -1.515 -4.893 -0.978
Pt 0.038 -3.021 -0.440
```

Results
The calculated density comes out at 8.6 g/cm3. The value obtained for the calculated volume is 87.0 Å³/cell. The value obtained for the density of states at the Fermi level is 1.1 states/eV/f.u.

b) Computed, not measured: crystalline LiAl2Pt2 at its relaxed geometry at the PBE level of DFT.

Geometry as extended XYZ:
```
10
Lattice="-1.912 6.881 -2.124 -6.544 -2.578 -2.459 -1.126 0.462 2.512" Properties=species:S:1:pos:R:3 pbc="T T T"
Pt -5.176 -0.375 -0.701
Al -2.630 0.023 -1.183
Pt -2.254 2.171 0.141
Al -2.129 4.037 -1.698
Li 0.000 0.000 0.000
Al -5.826 4.280 -3.400
Al -6.327 0.266 -2.886
Pt -4.406 5.141 -1.371
Pt -7.328 2.594 -2.212
Li -4.228 2.152 -2.292
```

Results
The calculated density comes out at 9.7 g/cm3. The value obtained for the calculated volume is 154.9 Å³/cell. The value obtained for the density of states at the Fermi level is 1.1 states/eV/f.u.

Relative energy table, unit meV/atom: a) 167; b) 0

a) Computed, not measured: crystalline LiAlPt4 at its relaxed geometry at the PBE level of DFT.

Geometry as extended XYZ:
```
6
Lattice="-2.330 2.717 -1.851 -2.103 -2.976 -1.721 -3.638 -0.043 4.515" Properties=species:S:1:pos:R:3 pbc="T T T"
Pt -5.965 -1.638 0.706
Pt -3.748 -1.508 2.492
Al -5.845 -0.161 2.723
Pt -4.190 -1.617 -1.496
Pt -1.974 -1.487 0.291
Li -3.912 -2.986 0.531
```

Results
The calculated density comes out at 14.4 g/cm3. The value obtained for the calculated volume is 94.2 Å³/cell. The value obtained for the density of states at the Fermi level is 2.9 states/eV/f.u.

b) Computed, not measured: crystalline LiAlPt4 at its relaxed geometry at the PBE level of DFT.

Geometry as extended XYZ:
```
6
Lattice="-2.208 1.761 4.443 -5.239 0.006 0.513 -2.326 -3.377 3.302" Properties=species:S:1:pos:R:3 pbc="T T T"
Pt -3.665 -0.604 3.096
Al -7.330 -1.208 6.193
Pt -4.828 -2.292 4.747
Li 0.000 0.000 0.000
Pt -4.769 0.277 5.318
Pt -6.285 -0.601 3.353
```

Results
The calculated density comes out at 13.1 g/cm3. The value obtained for the calculated volume is 103.2 Å³/cell. The value obtained for the density of states at the Fermi level is 6.6 states/eV/f.u.

Relative energy table, unit meV/atom: a) 0; b) 132

a) Computed, not measured: crystalline SrLiAl2Pt at its relaxed geometry at the PBE level of DFT.

Geometry as extended XYZ:
```
5
Lattice="-0.652 3.828 2.829 -1.476 -2.877 3.553 4.706 -0.403 1.628" Properties=species:S:1:pos:R:3 pbc="T T T"
Li 2.353 -0.201 0.814
Pt 0.000 0.000 0.000
Al -0.738 -1.439 1.777
Sr 1.289 0.274 4.005
Al -0.326 1.914 1.415
```

Results
The calculated density comes out at 4.9 g/cm3. The value obtained for the calculated volume is 115.3 Å³/cell. The value obtained for the density of states at the Fermi level is 3.6 states/eV/f.u.

b) Computed, not measured: crystalline SrLiAl2Pt at its relaxed geometry at the PBE level of DFT.

Geometry as extended XYZ:
```
5
Lattice="-2.331 -3.991 -0.229 3.450 -1.865 -2.621 2.127 -1.462 3.841" Properties=species:S:1:pos:R:3 pbc="T T T"
Pt 1.725 -0.932 -1.310
Al -1.166 -1.996 -0.114
Li 0.000 0.000 0.000
Sr 1.623 -3.659 0.496
Al 1.064 -0.731 1.921
```

Results
The calculated density comes out at 5.6 g/cm3. The value obtained for the calculated volume is 101.0 Å³/cell. The value obtained for the density of states at the Fermi level is 2.4 states/eV/f.u.

Relative energy table, unit meV/atom: a) 0; b) 414